This record from Alexandria via LeMat-Bulk describes a geometry-optimized TaCd2Br structure. The functional is PBE-GGA.

Lattice parameters (Å, degrees): 11.1979 11.1979 11.1979 16.24 16.24 16.24
With the nearest neighbours (Å) after each atom.
Positions (direct):
Cd 0.9898 0.9898 0.9898  9 Cd 3.16-3.38
Cd 0.2374 0.2374 0.2374  3 Ta 3.02, 9 Cd 3.16-3.38
Br 0.7746 0.7746 0.7746  3 Ta 2.63
Ta 0.4982 0.4982 0.4982  3 Br 2.63

Computed properties:
- relative energy among the computed polymorphs (meV/atom) = 0
- energy relative to the elements, uncorrected (eV per atom) = 0.01
- Fermi-level density of states (states/eV/atom) = 0.555
- total energy (eV/cell) = -15.31
- space-group type = R3m, No. 160

---

This record from Alexandria via LeMat-Bulk describes a geometry-optimized NaAgIO2 structure. The functional is PBE-GGA.

Lattice parameters (Å, degrees): 4.3966 4.3966 6.3793 90.00 90.00 90.00
With the nearest neighbours (Å) after each atom.
Positions (direct):
I 0.0000 0.0000 0.5000  4 Ag 3.11, 2 Na 3.19
Na 0.0000 0.0000 0.0000  4 O 2.20
O 0.0000 0.5000 0.0000  2 Na 2.20
O 0.5000 0.0000 0.0000  2 Na 2.20
Ag 0.5000 0.5000 0.5000  4 I 3.11

Computed properties:
- relative energy among the computed polymorphs (meV/atom) = 336
- energy relative to the elements, uncorrected (eV per atom) = 0.32
- Fermi-level density of states (states/eV/atom) = 0.476
- total energy (eV/cell) = -14.05
- space-group type = P4/mmm, No. 123